Entry 1:
DFT (PBE-GGA) results for a geometry-optimized Ti2GaFeBr structure.

Lattice parameters (Å, degrees): 4.650 4.650 5.556 90.00 90.00 90.00
Fractional coordinates of all 5 atoms:
Ti  0.000  0.500  0.000
Ti  0.500  0.000  0.000
Ga  0.000  0.000  0.500
Fe  0.500  0.500  0.000
Br  0.500  0.500  0.500

Values from the calculation:
Its space-group type is P4/mmm, No. 123. The crystal system is tetragonal. As for the magnetic moment: 0.000 μB per atom. For the raw formation energy, the calculation gives 669.7 meV/atom.

---

Entry 2:
DFT (PBE-GGA) results for a geometry-optimized CsGa3Tc structure.

Lattice parameters (Å, degrees): 5.018 5.018 5.018 90.00 90.00 90.00
Fractional coordinates of all 5 atoms:
Cs  0.000  0.000  0.000
Ga  0.000  0.500  0.500
Ga  0.500  0.000  0.500
Ga  0.500  0.500  0.000
Tc  0.500  0.500  0.500

Values from the calculation:
Its space-group type is Pm-3m, No. 221. The crystal system is cubic. As for the magnetic moment: 0.000 μB per atom. The value obtained for the distance to the lowest polymorph of the same formula is 0 meV/atom.

---

Entry 3:
DFT (PBE-GGA) results for a geometry-optimized Cs5UO6 structure.

Lattice parameters (Å, degrees): 7.226 7.226 7.032 99.70 99.70 120.17
Fractional coordinates of all 12 atoms:
Cs  0.000  0.000  0.000
Cs  0.167  0.833  0.500
Cs  0.338  0.662  0.000
Cs  0.662  0.338  0.000
Cs  0.833  0.167  0.500
U  0.500  0.500  0.500
O  0.205  0.437  0.315
O  0.328  0.328  0.688
O  0.437  0.205  0.315
O  0.563  0.795  0.685
O  0.672  0.672  0.312
O  0.795  0.563  0.685

Values from the calculation:
Its space-group type is C2/m, No. 12. The crystal system is monoclinic. As for the magnetic moment: 0.089 μB per atom. For the raw formation energy, the calculation gives -1978.6 meV/atom.

---

Entry 4:
DFT (PBE-GGA) results for a geometry-optimized Sc3Sb2S structure.

Lattice parameters (Å, degrees): 3.976 3.976 9.961 90.00 90.00 120.00
Fractional coordinates of all 6 atoms:
Sc  0.000  0.000  0.000
Sc  0.333  0.667  0.641
Sc  0.667  0.333  0.359
Sb  0.333  0.667  0.179
Sb  0.667  0.333  0.821
S  0.000  0.000  0.500

Values from the calculation:
Its space-group type is P-3m1, No. 164. The crystal system is trigonal. As for the magnetic moment: 0.000 μB per atom. For the raw formation energy, the calculation gives -1208.5 meV/atom.